Record 1
RbMnGeTe3 | the Alexandria database | PBE | optimized geometry; raw formation energy = -370 meV per atom
1.0
-2.6234 3.0132 -0.8460
-2.4410 -4.3760 -8.0163
-6.3596 -3.0339 8.9144
Ge Rb Mn Te
2 2 2 6
Direct
0.7500 0.8860 0.4492
0.2500 0.1140 0.5508
0.2500 0.2258 0.2673
0.7500 0.7742 0.7327
0.2500 0.6373 0.1570
0.7500 0.3627 0.8430
0.7500 0.4182 0.1013
0.7500 0.8603 0.2039
0.7500 0.3312 0.5829
0.2500 0.5818 0.8987
0.2500 0.1397 0.7961
0.2500 0.6688 0.4171

Record 2
MnReGe2 | the Alexandria database | PBE | optimized geometry; calculated formation energy = 0.2182 eV/atom; distance to the lowest polymorph of the same formula = 61 meV/atom
1.0
-1.6365 0.8447 -2.2399
-0.2889 -1.7218 -2.3153
-7.0391 -3.7504 1.8513
Re Ge Mn
1 2 1
Direct
0.5000 0.5000 0.5000
0.7479 0.7479 0.7563
0.2521 0.2521 0.2437
0.0000 0.0000 0.0000

Record 3
Mn2ReGe | the Alexandria database | PBE | optimized geometry; calculated formation energy = 0.5781 eV/atom
1.0
-4.0419 3.5647 4.1353
-1.0657 -5.5614 3.7524
-0.5272 -0.3989 5.4079
Mn Ge Re
4 2 2
Direct
0.8750 0.8758 0.7500
0.1242 0.6250 0.2500
0.6258 0.1250 0.2500
0.3750 0.3742 0.7500
0.2500 0.7500 0.5000
0.5000 0.5000 0.0000
0.0000 0.0000 0.0000
0.7500 0.2500 0.5000

Record 4
Mn2ReGe | the Alexandria database | PBE | optimized geometry; calculated formation energy = 0.0403 eV/atom
1.0
-0.5490 2.3908 -1.5574
0.0775 -1.5729 -2.4419
-5.8201 -1.0262 0.4762
Mn Ge Re
2 1 1
Direct
0.0000 0.0000 0.2401
0.0000 0.0000 0.7599
0.5000 0.5000 0.0000
0.5000 0.5000 0.5000

Record 5
MnReGe2 | the Alexandria database | PBE | optimized geometry; calculated formation energy = 0.1577 eV/atom; distance to the lowest polymorph of the same formula = 0 meV/atom
1.0
2.9640 0.0000 0.0000
1.4820 2.5669 0.0000
1.4820 0.8556 7.7052
Mn Ge Re
1 2 1
Direct
0.6647 0.6647 0.0059
0.0818 0.0818 0.7546
0.2521 0.2521 0.2436
0.5013 0.5013 0.4960

Record 6
MnRe2Ge | the Alexandria database | PBE | optimized geometry; calculated formation energy = 0.6320 eV/atom
1.0
-1.1601 3.5072 -0.3040
-3.4588 -1.1951 -0.5890
-3.9487 1.4044 8.6752
Mn Re Ge
2 4 2
Direct
0.2500 0.7500 0.5000
0.5000 0.5000 0.0000
0.6554 0.1250 0.2500
0.3750 0.3446 0.7500
0.0946 0.6250 0.2500
0.8750 0.9054 0.7500
0.0000 0.0000 0.0000
0.7500 0.2500 0.5000

Record 7
MnReGe2 | the Alexandria database | PBE | optimized geometry; calculated formation energy = 0.1911 eV/atom; distance to the lowest polymorph of the same formula = 33 meV/atom
1.0
0.0000 3.0381 3.0381
3.0381 0.0000 3.0381
3.0381 3.0381 0.0000
Mn Ge Re
1 2 1
Direct
0.0000 0.0000 0.0000
0.2500 0.2500 0.2500
0.7500 0.7500 0.7500
0.5000 0.5000 0.5000

Record 8
MnReGe2 | the Alexandria database | PBE | optimized geometry; calculated formation energy = 0.6072 eV/atom; distance to the lowest polymorph of the same formula = 450 meV/atom
1.0
6.8347 0.0000 0.0000
0.0000 6.8347 0.0000
3.4174 3.4174 2.7933
Ge Mn Re
4 2 2
Direct
0.6244 0.1250 0.2500
0.3750 0.3756 0.7500
0.1256 0.6250 0.2500
0.8750 0.8744 0.7500
0.2500 0.7500 0.5000
0.5000 0.5000 0.0000
0.0000 0.0000 0.0000
0.7500 0.2500 0.5000